No. 1
Compound: LiTe2As2
Source: Alexandria
Functional: PBE-GGA
Structure: optimized geometry

a = 8.1638 Å, b = 8.1638 Å, c = 3.9431 Å
α = 90.00°, β = 90.00°, γ = 90.00°
With the nearest neighbours (Å) after each atom.
Fractional positions:
Li: 0.0000 0.0000 0.0000  4 As 3.02
Li: 0.5000 0.5000 0.0000  4 As 3.02
Te: 0.1713 0.3287 0.5000  2 As 2.68
Te: 0.3287 0.8287 0.5000  2 As 2.68
Te: 0.6713 0.1713 0.5000  2 As 2.68
Te: 0.8287 0.6713 0.5000  2 As 2.68
As: 0.1716 0.6716 0.0000  2 Te 2.68
As: 0.3284 0.1716 0.0000  2 Te 2.68
As: 0.6716 0.8284 0.0000  2 Te 2.68
As: 0.8284 0.3284 0.0000  2 Te 2.68

Excess energy over the best structure of this formula in the dataset, kcal/mol of atoms: 0.00
Volume, Å³/atom: 26.3
Density of states at the Fermi level, states/eV/atom: 0.27
Space group: P4/mbm (127)
Formation energy (no corrections), eV per atom: -0.055
Total energy, eV/atom: -3.55
Mass density, Mg/m³: 5.206
Magnetization, μB/cell: 0.000

No. 2
Compound: Nd3Y3Tl
Source: Alexandria
Functional: PBE-GGA
Structure: optimized geometry

a = 9.5681 Å, b = 9.5681 Å, c = 5.6686 Å
α = 90.00°, β = 90.00°, γ = 120.00°
With the nearest neighbours (Å) after each atom.
Fractional positions:
Nd: 0.1074 0.6299 0.2500  3 Tl 3.47-3.72, 4 Nd 3.48-3.65, 5 Y 3.52-3.79
Nd: 0.3701 0.4775 0.2500  3 Tl 3.47-3.72, 4 Nd 3.48-3.65, 5 Y 3.52-3.79
Nd: 0.4775 0.1074 0.7500  3 Tl 3.47-3.72, 4 Nd 3.48-3.65, 5 Y 3.52-3.79
Nd: 0.5225 0.8926 0.2500  3 Tl 3.47-3.72, 4 Nd 3.48-3.65, 5 Y 3.52-3.79
Nd: 0.6299 0.5225 0.7500  3 Tl 3.47-3.72, 4 Nd 3.48-3.65, 5 Y 3.52-3.79
Nd: 0.8926 0.3701 0.7500  3 Tl 3.47-3.72, 4 Nd 3.48-3.65, 5 Y 3.52-3.79
Y: 0.0614 0.8230 0.7500  6 Y 3.50-3.55, 5 Nd 3.52-3.79, 1 Tl 3.59
Y: 0.1770 0.2384 0.7500  6 Y 3.50-3.55, 5 Nd 3.52-3.79, 1 Tl 3.59
Y: 0.2384 0.0614 0.2500  6 Y 3.50-3.55, 5 Nd 3.52-3.79, 1 Tl 3.59
Y: 0.7616 0.9386 0.7500  6 Y 3.50-3.55, 5 Nd 3.52-3.79, 1 Tl 3.59
Y: 0.8230 0.7616 0.2500  6 Y 3.50-3.55, 5 Nd 3.52-3.79, 1 Tl 3.59
Y: 0.9386 0.1770 0.2500  6 Y 3.50-3.55, 5 Nd 3.52-3.79, 1 Tl 3.59
Tl: 0.3333 0.6667 0.7500  9 Nd 3.47-3.72, 3 Y 3.59
Tl: 0.6667 0.3333 0.2500  9 Nd 3.47-3.72, 3 Y 3.59

Volume, Å³/atom: 32.1
Density of states at the Fermi level, states/eV/atom: 1.52
Space group: P6_3/m (176)
Total energy, eV/atom: -5.22
Mass density, Mg/m³: 6.677
ΔE_f, meV/atom: -72
Magnetization, μB/cell: 0.158

No. 3
Compound: KInPb
Source: Alexandria
Functional: PBE-GGA
Structure: optimized geometry

a = 8.8557 Å, b = 5.3423 Å, c = 8.7345 Å
α = 90.00°, β = 90.00°, γ = 90.00°
With the nearest neighbours (Å) after each atom.
Fractional positions:
K: 0.0004 0.2500 0.1830  6 In 3.66-4.03, 6 Pb 3.66-4.00
K: 0.9996 0.7500 0.8170  6 In 3.66-4.03, 6 Pb 3.66-4.00
K: 0.5004 0.2500 0.3170  6 In 3.66-4.03, 6 Pb 3.66-4.00
K: 0.4996 0.7500 0.6830  6 In 3.66-4.03, 6 Pb 3.66-4.00
In: 0.1719 0.2500 0.5905  4 Pb 3.08-3.11
In: 0.3281 0.7500 0.0905  4 Pb 3.08-3.11
In: 0.6719 0.2500 0.9095  4 Pb 3.08-3.11
In: 0.8281 0.7500 0.4095  4 Pb 3.08-3.11
Pb: 0.1765 0.7500 0.4075  4 In 3.08-3.11
Pb: 0.3235 0.2500 0.9075  4 In 3.08-3.11
Pb: 0.6765 0.7500 0.0925  4 In 3.08-3.11
Pb: 0.8235 0.2500 0.5925  4 In 3.08-3.11

Volume, Å³/atom: 34.4
Density of states at the Fermi level, states/eV/atom: 0.10
Space group: Pnma (62)
Total energy, eV/atom: -2.69
Mass density, Mg/m³: 5.804
ΔE_f, meV/atom: -175
Magnetization, μB/cell: 0.000

No. 4
Compound: SrGaW2I
Source: Alexandria
Functional: PBE-GGA
Structure: optimized geometry

a = 4.7658 Å, b = 4.7658 Å, c = 5.8781 Å
α = 90.00°, β = 90.00°, γ = 90.00°
With the nearest neighbours (Å) after each atom.
Fractional positions:
Sr: 0.0000 0.0000 0.0000  2 Ga 2.94
Ga: 0.0000 0.0000 0.5000  4 W 2.38
W: 0.0000 0.5000 0.5000  2 Ga 2.38
W: 0.5000 0.0000 0.5000  2 Ga 2.38
I: 0.5000 0.5000 0.0000  4 Sr 3.37

Volume, Å³/atom: 26.7
Density of states at the Fermi level, states/eV/atom: 1.31
Space group: P4/mmm (123)
Formation energy (no corrections), eV per atom: 1.425
Total energy, eV/atom: -5.01
Mass density, Mg/m³: 8.108
Magnetization, μB/cell: 0.002

No. 5
Compound: Rb3LaPa2O9
Source: Alexandria
Functional: PBE-GGA
Structure: optimized geometry

a = 6.3451 Å, b = 6.3451 Å, c = 7.7726 Å
α = 90.00°, β = 90.00°, γ = 120.00°
With the nearest neighbours (Å) after each atom.
Fractional positions:
Rb: 0.0000 0.0000 0.0000  12 O 3.15-3.17
Rb: 0.3333 0.6667 0.6641  12 O 3.18-3.19
Rb: 0.6667 0.3333 0.3359  12 O 3.18-3.19
La: 0.0000 0.0000 0.5000  6 O 2.40
Pa: 0.3333 0.6667 0.1634  6 O 2.11-2.23
Pa: 0.6667 0.3333 0.8366  6 O 2.11-2.23
O: 0.0000 0.5000 0.0000  2 Pa 2.23
O: 0.1764 0.3529 0.3190  1 Pa 2.11
O: 0.1764 0.8236 0.3190  1 Pa 2.11
O: 0.3529 0.1764 0.6810  1 Pa 2.11
O: 0.5000 0.0000 0.0000  2 Pa 2.23
O: 0.5000 0.5000 0.0000  2 Pa 2.23
O: 0.6471 0.8236 0.3190  1 Pa 2.11
O: 0.8236 0.1764 0.6810  1 Pa 2.11
O: 0.8236 0.6471 0.6810  1 Pa 2.11

Volume, Å³/atom: 18.1
Density of states at the Fermi level, states/eV/atom: 0.87
Space group: P-3m1 (164)
Formation energy (no corrections), eV per atom: -2.722
Total energy, eV/atom: -7.49
Mass density, Mg/m³: 6.136
Magnetization, μB/cell: 1.763

No. 6
Compound: Cr2CuH2
Source: Alexandria
Functional: PBE-GGA
Structure: optimized geometry

a = 5.5710 Å, b = 5.5710 Å, c = 2.6028 Å
α = 90.00°, β = 90.00°, γ = 90.00°
With the nearest neighbours (Å) after each atom.
Fractional positions:
Cr: 0.1334 0.3666 0.0000  6 H 2.05-2.15, 1 Cr 2.10
Cr: 0.3666 0.8666 0.0000  6 H 2.05-2.15, 1 Cr 2.10
Cr: 0.6334 0.1334 0.0000  6 H 2.05-2.15, 1 Cr 2.10
Cr: 0.8666 0.6334 0.0000  6 H 2.05-2.15, 1 Cr 2.10
Cu: 0.0000 0.0000 0.5000  4 H 2.12
Cu: 0.5000 0.5000 0.5000  4 H 2.12
H: 0.1496 0.6496 0.5000  6 Cr 2.05-2.15, 2 Cu 2.12
H: 0.3504 0.1496 0.5000  6 Cr 2.05-2.15, 2 Cu 2.12
H: 0.6496 0.8504 0.5000  6 Cr 2.05-2.15, 2 Cu 2.12
H: 0.8504 0.3504 0.5000  6 Cr 2.05-2.15, 2 Cu 2.12

Excess energy over the best structure of this formula in the dataset, kcal/mol of atoms: 3.96
Volume, Å³/atom: 8.1
Density of states at the Fermi level, states/eV/atom: 0.79
Space group: P4/mbm (127)
Total energy, eV/atom: -5.65
Mass density, Mg/m³: 6.971
Magnetization, μB/cell: 0.002